Below is a PBEsol-optimized structure of NaCeH2S2O9, with properties calculated at the meta-GGA SCAN level.

Values from the calculation:
The value obtained for the theoretical density is 3.468 g cm⁻³. As for the total magnetization: 1.000 μB per formula unit. For the uncorrected energy, the calculation gives -486.12 eV/cell.

```
data_NaCeH2S2O9
_cell_length_a 6.9390
_cell_length_b 6.9390
_cell_length_c 12.8590
_cell_angle_alpha 90.00
_cell_angle_beta 90.00
_cell_angle_gamma 120.00
_space_group_name_H-M_alt 'P 32'
_space_group_IT_number 145
loop_
_space_group_symop_operation_xyz
'x,y,z'
'-y,x-y,z+2/3'
'-x+y,-x,z+1/3'
loop_
_atom_site_label
_atom_site_type_symbol
_atom_site_fract_x
_atom_site_fract_y
_atom_site_fract_z
_atom_site_occupancy
Na1 Na 0.0081 0.4675 0.0000 1
Ce1 Ce 0.4315 0.0187 0.8366 1
H1 H 0.0064 0.0971 0.8440 1
H2 H 0.0994 0.0799 0.5845 1
S1 S 0.0189 0.4397 0.2580 1
S2 S 0.4526 0.0096 0.0812 1
O1 O 0.0867 0.0243 0.8727 1
O2 O 0.1103 0.6382 0.8165 1
O3 O 0.1118 0.6262 0.3337 1
O4 O 0.1467 0.4107 0.6812 1
O5 O 0.1944 0.4224 0.2015 1
O6 O 0.3465 0.1142 0.6547 1
O7 O 0.3841 0.1395 0.1491 1
O8 O 0.5299 0.3687 0.3416 1
O9 O 0.5343 0.4113 0.8464 1
```


Below is a PBEsol-optimized structure of Hf3NbHg, with properties calculated at the meta-GGA SCAN level.

Values from the calculation:
The value obtained for the energy of formation from the pure elements is 1.00 eV per atom. The value obtained for the theoretical density is 11.116 g cm⁻³. As for the total magnetization: 0.000 μB per formula unit. For the uncorrected energy, the calculation gives -284.29 eV/cell.

```
data_Hf3NbHg
_cell_length_a 4.984
_cell_length_b 4.984
_cell_length_c 4.984
_cell_angle_alpha 90.00
_cell_angle_beta 90.00
_cell_angle_gamma 90.00
_space_group_name_H-M_alt 'P m -3 m'
_space_group_IT_number 221
_space_group_name_Hall '-P 4 2 3'
loop_
_atom_site_label
_atom_site_type_symbol
_atom_site_fract_x
_atom_site_fract_y
_atom_site_fract_z
_atom_site_occupancy
Hf1 Hf 0.000 0.000 0.500 1
Nb1 Nb 0.000 0.000 0.000 1
Hg1 Hg 0.500 0.500 0.500 1
```


Below is a PBEsol-optimized structure of TePS2N, with properties calculated at the meta-GGA SCAN level.

Values from the calculation:
The value obtained for the theoretical density is 4.105 g cm⁻³. As for the total magnetization: 0.000 μB per formula unit. The formation energy from raw total energies is 1.419 eV per atom. For the uncorrected energy, the calculation gives -69.10 eV/cell.

```
data_TePS2N
_cell_length_a 5.005
_cell_length_b 5.005
_cell_length_c 3.822
_cell_angle_alpha 90.00
_cell_angle_beta 90.00
_cell_angle_gamma 90.00
_space_group_name_H-M_alt 'P 4/m m m'
_space_group_IT_number 123
_space_group_name_Hall '-P 4 2'
loop_
_atom_site_label
_atom_site_type_symbol
_atom_site_fract_x
_atom_site_fract_y
_atom_site_fract_z
_atom_site_occupancy
Te1 Te 0.000 0.000 0.000 1
P1 P 0.500 0.500 0.500 1
S1 S 0.000 0.500 0.000 1
N1 N 0.000 0.000 0.500 1
```


Below is a PBEsol-optimized structure of AlHgRh2, with properties calculated at the meta-GGA SCAN level.

Values from the calculation:
The value obtained for the energy of formation from the pure elements is -0.28 eV per atom. The value obtained for the theoretical density is 11.871 g cm⁻³. As for the total magnetization: 0.001 μB per formula unit. For the uncorrected energy, the calculation gives -289.17 eV/cell. For the excess energy over the best structure of this formula in the dataset, the calculation gives 0.320 eV per atom.

```
data_AlHgRh2
_cell_length_a 9.784
_cell_length_b 2.921
_cell_length_c 4.558
_cell_angle_alpha 90.00
_cell_angle_beta 111.44
_cell_angle_gamma 90.00
_space_group_name_H-M_alt 'C 1 m 1'
_space_group_IT_number 8
loop_
_space_group_symop_operation_xyz
'x,y,z'
'x,-y,z'
'x+1/2,y+1/2,z'
'x+1/2,-y+1/2,z'
loop_
_atom_site_label
_atom_site_type_symbol
_atom_site_fract_x
_atom_site_fract_y
_atom_site_fract_z
_atom_site_occupancy
Al1 Al 0.000 0.000 0.000 1
Hg1 Hg 0.263 0.500 0.394 1
Rh1 Rh 0.017 0.500 0.517 1
Rh2 Rh 0.266 0.000 0.902 1
```


Below is a PBEsol-optimized structure of SbPbAu, with properties calculated at the meta-GGA SCAN level.

Values from the calculation:
The value obtained for the theoretical density is 11.313 g cm⁻³. As for the total magnetization: 0.000 μB per formula unit. The formation energy from raw total energies is -0.117 eV per atom. For the uncorrected energy, the calculation gives -365.10 eV/cell. For the excess energy over the best structure of this formula in the dataset, the calculation gives 0.022 eV per atom.

```
data_SbPbAu
_cell_length_a 4.6431
_cell_length_b 4.6431
_cell_length_c 8.2692
_cell_angle_alpha 90.00
_cell_angle_beta 90.00
_cell_angle_gamma 120.00
_space_group_name_H-M_alt 'P 63 m c'
_space_group_IT_number 186
_space_group_name_Hall 'P 6c -2c'
loop_
_atom_site_label
_atom_site_type_symbol
_atom_site_fract_x
_atom_site_fract_y
_atom_site_fract_z
_atom_site_occupancy
Sb1 Sb 0.3333 0.6667 0.0000 1
Pb1 Pb 0.0000 0.0000 0.2443 1
Au1 Au 0.3333 0.6667 0.4138 1
```


Below is a PBEsol-optimized structure of BiSbO3, with properties calculated at the meta-GGA SCAN level.

Values from the calculation:
The value obtained for the theoretical density is 8.729 g cm⁻³. As for the total magnetization: 0.000 μB per formula unit. The formation energy from raw total energies is -0.756 eV per atom. For the uncorrected energy, the calculation gives -138.31 eV/cell.

```
data_BiSbO3
_cell_length_a 4.161
_cell_length_b 4.161
_cell_length_c 4.161
_cell_angle_alpha 90.00
_cell_angle_beta 90.00
_cell_angle_gamma 90.00
_space_group_name_H-M_alt 'P m -3 m'
_space_group_IT_number 221
_space_group_name_Hall '-P 4 2 3'
loop_
_atom_site_label
_atom_site_type_symbol
_atom_site_fract_x
_atom_site_fract_y
_atom_site_fract_z
_atom_site_occupancy
Bi1 Bi 0.000 0.000 0.000 1
Sb1 Sb 0.500 0.500 0.500 1
O1 O 0.000 0.500 0.500 1
```


Below is a PBEsol-optimized structure of Co7As, with properties calculated at the meta-GGA SCAN level.

Values from the calculation:
The value obtained for the energy of formation from the pure elements is 0.05 eV per atom. The value obtained for the theoretical density is 9.566 g cm⁻³. As for the total magnetization: 11.423 μB per formula unit. For the uncorrected energy, the calculation gives -563.56 eV/cell.

```
data_Co7As
_cell_length_a 6.969
_cell_length_b 6.969
_cell_length_c 6.969
_cell_angle_alpha 90.00
_cell_angle_beta 90.00
_cell_angle_gamma 90.00
_space_group_name_H-M_alt 'F m -3 m'
_space_group_IT_number 225
_space_group_name_Hall '-F 4 2 3'
loop_
_atom_site_label
_atom_site_type_symbol
_atom_site_fract_x
_atom_site_fract_y
_atom_site_fract_z
_atom_site_occupancy
Co1 Co 0.000 0.000 0.000 1
Co2 Co 0.000 0.250 0.250 1
As1 As 0.000 0.000 0.500 1
```


Below is a PBEsol-optimized structure of Sc2Be17, with properties calculated at the meta-GGA SCAN level.

Values from the calculation:
The value obtained for the energy of formation from the pure elements is -0.17 eV per atom. The value obtained for the theoretical density is 2.284 g cm⁻³. As for the total magnetization: 0.000 μB per formula unit. For the uncorrected energy, the calculation gives -211.39 eV/cell.

```
data_Sc2Be17
_cell_length_a 7.4802
_cell_length_b 7.4802
_cell_length_c 7.2968
_cell_angle_alpha 90.00
_cell_angle_beta 90.00
_cell_angle_gamma 120.00
_space_group_name_H-M_alt 'P 63/m m c'
_space_group_IT_number 194
_space_group_name_Hall '-P 6c 2c'
loop_
_atom_site_label
_atom_site_type_symbol
_atom_site_fract_x
_atom_site_fract_y
_atom_site_fract_z
_atom_site_occupancy
Sc1 Sc 0.0000 0.0000 0.2500 1
Sc2 Sc 0.3333 0.6667 0.2500 1
Be1 Be 0.0000 0.5000 0.0000 1
Be2 Be 0.0463 0.3783 0.7500 1
Be3 Be 0.1662 0.3323 0.0124 1
Be4 Be 0.3333 0.6667 0.6055 1
```


Below is a PBEsol-optimized structure of LiCuNi2, with properties calculated at the meta-GGA SCAN level.

Values from the calculation:
The value obtained for the energy of formation from the pure elements is 0.06 eV per atom. The value obtained for the theoretical density is 7.297 g cm⁻³. As for the total magnetization: 0.001 μB per formula unit. For the uncorrected energy, the calculation gives -99.37 eV/cell.

```
data_LiCuNi2
_cell_length_a 2.540
_cell_length_b 4.084
_cell_length_c 8.244
_cell_angle_alpha 90.00
_cell_angle_beta 90.00
_cell_angle_gamma 90.00
_space_group_name_H-M_alt 'I m m m'
_space_group_IT_number 71
_space_group_name_Hall '-I 2 2'
loop_
_atom_site_label
_atom_site_type_symbol
_atom_site_fract_x
_atom_site_fract_y
_atom_site_fract_z
_atom_site_occupancy
Li1 Li 0.000 0.000 0.000 1
Cu1 Cu 0.000 0.000 0.500 1
Ni1 Ni 0.000 0.500 0.248 1
```


Below is a PBEsol-optimized structure of SrTiP2O8, with properties calculated at the meta-GGA SCAN level.

Values from the calculation:
The value obtained for the theoretical density is 3.429 g cm⁻³. As for the total magnetization: 0.000 μB per formula unit. The formation energy from raw total energies is -2.888 eV per atom. For the uncorrected energy, the calculation gives -287.22 eV/cell.

```
data_SrTiP2O8
_cell_length_a 5.394
_cell_length_b 7.090
_cell_length_c 9.055
_cell_angle_alpha 107.82
_cell_angle_beta 100.52
_cell_angle_gamma 99.33
_space_group_name_H-M_alt 'P -1'
_space_group_IT_number 2
loop_
_space_group_symop_operation_xyz
'x,y,z'
'-x,-y,-z'
loop_
_atom_site_label
_atom_site_type_symbol
_atom_site_fract_x
_atom_site_fract_y
_atom_site_fract_z
_atom_site_occupancy
Sr1 Sr 0.227 0.276 0.052 1
Ti1 Ti 0.337 0.665 0.441 1
P1 P 0.158 0.464 0.698 1
P2 P 0.429 0.935 0.225 1
O1 O 0.013 0.750 0.415 1
O2 O 0.053 0.409 0.316 1
O3 O 0.177 0.947 0.127 1
O4 O 0.270 0.496 0.872 1
O5 O 0.342 0.037 0.843 1
O6 O 0.385 0.521 0.619 1
O7 O 0.395 0.729 0.263 1
O8 O 0.485 0.106 0.397 1
```